# Tl4SnBi, relaxed, DFT PBE
# Energy relative to the lowest polymorph listed for this composition: 0 meV/atom
data_Tl4SnBi
_chemical_formula_sum 'Tl16 Sn4 Bi4'
_space_group_name_H-M_alt 'C 1 2/c 1'
_space_group_IT_number 15
_space_group_name_Hall '-C 2yc'
_cell_length_a 6.714
_cell_length_b 19.321
_cell_length_c 6.702
_cell_angle_alpha 90.00
_cell_angle_beta 119.78
_cell_angle_gamma 90.00
loop_
_atom_site_label
_atom_site_type_symbol
_atom_site_fract_x
_atom_site_fract_y
_atom_site_fract_z
Tl1 Tl 0.247 0.034 0.245
Tl2 Tl 0.248 0.216 0.245
Sn1 Sn 0.000 0.125 0.750
Bi1 Bi 0.000 0.375 0.250



# TlSnBi2, relaxed, DFT PBE
# Energy relative to the lowest polymorph listed for this composition: 5 meV/atom
data_TlSnBi2
_chemical_formula_sum 'Tl2 Sn2 Bi4'
_space_group_name_H-M_alt 'A m m 2'
_space_group_IT_number 38
_space_group_name_Hall 'A 2 -2'
_cell_length_a 3.345
_cell_length_b 6.644
_cell_length_c 11.388
_cell_angle_alpha 90.00
_cell_angle_beta 90.00
_cell_angle_gamma 90.00
loop_
_atom_site_label
_atom_site_type_symbol
_atom_site_fract_x
_atom_site_fract_y
_atom_site_fract_z
Tl1 Tl 0.000 0.000 0.000
Sn1 Sn 0.500 0.000 0.499
Bi1 Bi 0.500 0.250 0.250



Density functional theory data (PBE) for a relaxed Tl3SnBi2 crystal.

Structure (CIF):
```
data_Tl3SnBi2
_chemical_formula_sum 'Tl3 Sn1 Bi2'
_space_group_name_H-M_alt 'P 4/m m m'
_space_group_IT_number 123
_space_group_name_Hall '-P 4 2'
_cell_length_a 3.353
_cell_length_b 3.353
_cell_length_c 16.690
_cell_angle_alpha 90.00
_cell_angle_beta 90.00
_cell_angle_gamma 90.00
loop_
_atom_site_label
_atom_site_type_symbol
_atom_site_fract_x
_atom_site_fract_y
_atom_site_fract_z
Tl1 Tl 0.000 0.000 0.000
Tl2 Tl 0.000 0.000 0.334
Sn1 Sn 0.500 0.500 0.500
Bi1 Bi 0.500 0.500 0.170
```



# Tl6Sn2Bi, relaxed, DFT PBE
# Energy relative to the lowest polymorph listed for this composition: 82 meV/atom
data_Tl6Sn2Bi
_chemical_formula_sum 'Tl12 Sn4 Bi2'
_space_group_name_H-M_alt 'C 1 2/m 1'
_space_group_IT_number 12
_space_group_name_Hall '-C 2y'
_cell_length_a 7.904
_cell_length_b 9.927
_cell_length_c 8.275
_cell_angle_alpha 90.00
_cell_angle_beta 95.16
_cell_angle_gamma 90.00
loop_
_atom_site_label
_atom_site_type_symbol
_atom_site_fract_x
_atom_site_fract_y
_atom_site_fract_z
Tl1 Tl 0.111 0.000 0.348
Tl2 Tl 0.243 0.307 0.277
Sn1 Sn 0.000 0.149 0.000
Bi1 Bi 0.000 0.500 0.500



Uncorrected energy across the listed records, respectively: -68.8, -28.0, -18.8, -50.1 eV/cell.